No. 1
GGA-PBE Ba3Zn2Sn4, optimized geometry; crystal system = monoclinic; VASP energy = -29.30 eV/cell; size of the total moment = 0.0 μB per cell; energy relative to the elements = -12.747 kcal/mol of atoms
1.0
6.5578 -2.3880 0.0000
6.5578 2.3880 0.0000
-1.1197 0.0000 9.6031
Ba Zn Sn
3 2 4
Cartesian
0.0000 0.0000 0.0000 Ba
4.0951 0.0000 3.1664 Ba
7.9009 0.0000 6.4368 Ba
4.1989 0.0000 6.7743 Zn
7.7971 0.0000 2.8289 Zn
0.3964 0.0000 3.6829 Sn
2.8082 0.0000 9.0726 Sn
9.1878 0.0000 0.5305 Sn
11.5997 0.0000 5.9203 Sn

***

No. 2
GGA-PBE InSn2Te2, optimized geometry; crystal system = tetragonal; energy relative to the elements, uncorrected = -0.07 eV per atom; VASP energy = -17.39 eV/cell; size of the total moment = 0.0 μB per cell
1.0
-2.9709 2.9709 4.9327
2.9709 -2.9709 4.9327
2.9709 2.9709 -4.9327
In Sn Te
1 2 2
Cartesian
0.0000 0.0000 0.0000 In
0.0000 0.0000 3.3953 Sn
0.0000 0.0000 6.4700 Sn
2.9709 0.0000 2.4663 Te
0.0000 2.9709 2.4663 Te

***

No. 3
GGA-PBE KZnCdAs, optimized geometry; crystal system = tetragonal; VASP energy = -18.02 eV/cell; size of the total moment = 0.0 μB per cell; energy relative to the elements = -6.190 kcal/mol of atoms
1.0
4.1509 0.0000 0.0000
0.0000 4.1509 0.0000
0.0000 0.0000 13.2479
K Zn Cd As
2 2 2 2
Cartesian
1.0377 1.0377 3.1408 K
3.1132 3.1132 10.1071 K
1.0377 3.1132 0.0000 Zn
3.1132 1.0377 0.0000 Zn
1.0377 3.1132 6.6240 Cd
3.1132 1.0377 6.6240 Cd
1.0377 1.0377 11.7048 As
3.1132 3.1132 1.5431 As

***

No. 4
GGA-PBE Pr2NpBi3, optimized geometry; crystal system = tetragonal; VASP energy = -37.69 eV/cell; size of the total moment = 3.9 μB per cell; energy relative to the elements = -13.634 kcal/mol of atoms
1.0
-2.3014 2.3014 9.7522
2.3014 -2.3014 9.7522
2.3014 2.3014 -9.7522
Pr Np Bi
2 1 3
Cartesian
0.0000 0.0000 3.2734 Pr
0.0000 0.0000 16.2309 Pr
0.0000 0.0000 9.7522 Np
0.0000 0.0000 0.0000 Bi
0.0000 0.0000 6.5523 Bi
0.0000 0.0000 12.9520 Bi

***

No. 5
GGA-PBE RbNa2PuF6, optimized geometry; crystal system = trigonal; energy relative to the elements, uncorrected = -3.07 eV per atom; VASP energy = -59.88 eV/cell; size of the total moment = 5.0 μB per cell
1.0
3.0871 1.7823 5.3879
-3.0871 1.7823 5.3879
0.0000 -3.5647 5.3879
Rb Na Pu F
1 2 1 6
Cartesian
0.0000 0.0000 0.0000 Rb
0.0000 0.0000 4.3415 Na
0.0000 0.0000 12.6017 Na
0.0000 0.0000 7.7378 Pu
-1.6068 -0.4141 6.1515 F
-1.0900 -1.8285 8.6336 F
1.1620 -1.1844 6.1515 F
-1.0385 1.8583 8.6336 F
0.4448 1.5985 6.1515 F
2.1286 -0.0297 8.6336 F

***

No. 6
GGA-PBE Sr4SbAs, optimized geometry; crystal system = cubic; energy relative to the elements, uncorrected = 0.13 eV per atom; VASP energy = -14.73 eV/cell; size of the total moment = 0.0 μB per cell
1.0
0.0000 4.7462 4.7462
4.7462 0.0000 4.7462
4.7462 4.7462 0.0000
Sr Sb As
4 1 1
Cartesian
1.1867 1.1867 1.1867 Sr
3.5594 3.5594 1.1867 Sr
3.5594 1.1867 3.5594 Sr
1.1867 3.5594 3.5594 Sr
4.7462 4.7462 4.7462 Sb
7.1192 7.1192 7.1192 As